(1)
Entry from the Alexandria database: a relaxed Tb2Be3CuPt4 crystal (GGA-PBE).

Geometry as extended XYZ:
```
10
Lattice="3.997 0.000 0.000 0.000 3.997 0.000 0.000 0.000 9.985" Properties=species:S:1:pos:R:3 pbc="T T T"
Tb 0.000 1.999 2.470
Tb 1.999 0.000 7.514
Be 0.000 1.999 8.786
Be 1.999 0.000 1.199
Be 1.999 1.999 4.992
Cu 0.000 0.000 4.992
Pt 0.000 0.000 0.000
Pt 0.000 1.999 6.482
Pt 1.999 0.000 3.503
Pt 1.999 1.999 0.000
```

Properties
Density of states at the Fermi level, states/eV per atom: 0.453
M_tot, μB per cell: 0.00
Space group: P-4m2 (115)
Energy of formation from the pure elements, meV/atom: -850

***

(2)
Entry from the Alexandria database: a relaxed Li2Ag2Pb crystal (GGA-PBE).

Geometry as extended XYZ:
```
10
Lattice="4.110 0.000 0.000 0.000 4.110 0.000 0.000 0.000 12.427" Properties=species:S:1:pos:R:3 pbc="T T T"
Li 0.000 2.055 3.107
Li 0.000 2.055 9.320
Li 2.055 0.000 3.107
Li 2.055 0.000 9.320
Ag 0.000 0.000 1.380
Ag 0.000 0.000 11.047
Ag 2.055 2.055 4.833
Ag 2.055 2.055 7.594
Pb 0.000 0.000 6.214
Pb 2.055 2.055 0.000
```

Properties
Density of states at the Fermi level, states/eV per atom: 0.321
M_tot, μB per cell: 0.00
Space group: I4/mmm (139)
Energy of formation from the pure elements, meV/atom: -9
Excess energy over the best structure of this formula in the dataset, meV/atom: 173

***

(3)
Entry from the Alexandria database: a relaxed PrNdEu2 crystal (GGA-PBE).

Geometry as extended XYZ:
```
4
Lattice="3.738 0.000 0.000 0.000 3.738 0.000 0.000 0.000 10.806" Properties=species:S:1:pos:R:3 pbc="T T T"
Pr 0.000 0.000 0.000
Nd 0.000 0.000 5.403
Eu 1.869 1.869 2.712
Eu 1.869 1.869 8.093
```

Properties
Density of states at the Fermi level, states/eV per atom: 1.346
M_tot, μB per cell: 14.78
Space group: P4/mmm (123)
Energy of formation from the pure elements, meV/atom: 86
Excess energy over the best structure of this formula in the dataset, meV/atom: 20

***

(4)
Entry from the Alexandria database: a relaxed Ca2CdGaBr crystal (GGA-PBE).

Geometry as extended XYZ:
```
5
Lattice="5.857 0.000 0.000 0.000 5.857 0.000 0.000 0.000 4.929" Properties=species:S:1:pos:R:3 pbc="T T T"
Ca 0.000 2.929 0.000
Ca 2.929 0.000 0.000
Cd 0.000 0.000 2.465
Ga 0.000 0.000 0.000
Br 2.929 2.929 2.465
```

Properties
Density of states at the Fermi level, states/eV per atom: 0.131
Formation energy without anion corrections, eV/atom: -0.482
M_tot, μB per cell: 0.00
Space group: P4/mmm (123)